{
  "formula": "YZrReH2",
  "functional": "PBE",
  "state": "relaxed",
  "lattice": [[-2.823, -1.742, -1.922], [4.449, -2.235, -4.507], [0.530, -3.168, 2.094]],
  "species": ["H", "H", "Y", "Re", "Zr"],
  "fractional_positions": [[0.000, 0.000, 0.500], [0.500, 0.000, 0.000], [0.000, 0.000, 0.000], [0.500, 0.500, 0.500], [0.000, 0.500, 0.000]],
  "total_energy_ev_per_cell": -30.3
}

***

{
  "formula": "IrSe2NO",
  "functional": "PBE",
  "state": "relaxed",
  "lattice": [[-2.544, 0.745, -4.290], [2.043, -4.183, -1.939], [-2.759, -1.949, 1.298]],
  "species": ["N", "Se", "Se", "O", "Ir"],
  "fractional_positions": [[0.000, 0.000, 0.500], [0.500, 0.000, 0.000], [0.000, 0.500, 0.000], [0.500, 0.500, 0.500], [0.000, 0.000, 0.000]],
  "total_energy_ev_per_cell": -24.1,
  "polymorph_energy_mev_per_atom": 0,
  "formation_energy_uncorrected_mev_per_atom": 1008
}

***

{
  "formula": "Na2SrSn2",
  "functional": "PBE",
  "state": "relaxed",
  "lattice": [[8.940, 0.000, 0.000], [0.000, 8.940, 0.000], [0.000, 0.000, 3.954]],
  "species": ["Na", "Na", "Na", "Na", "Sr", "Sr", "Sn", "Sn", "Sn", "Sn"],
  "fractional_positions": [[0.673, 0.827, 0.500], [0.327, 0.173, 0.500], [0.173, 0.673, 0.500], [0.827, 0.327, 0.500], [0.000, 0.000, 0.000], [0.500, 0.500, 0.000], [0.881, 0.619, 0.000], [0.619, 0.119, 0.000], [0.381, 0.881, 0.000], [0.119, 0.381, 0.000]],
  "total_energy_ev_per_cell": -26.8,
  "polymorph_energy_mev_per_atom": 124,
  "ef_mev_per_atom": -219
}

***

{
  "formula": "TlZn3Co",
  "functional": "PBE",
  "state": "relaxed",
  "lattice": [[-4.570, -0.793, -0.515], [0.061, -2.780, 3.748], [-0.944, 3.663, 2.732]],
  "species": ["Zn", "Zn", "Zn", "Tl", "Co"],
  "fractional_positions": [[0.500, 0.000, 0.000], [0.000, 0.000, 0.500], [0.000, 0.500, 0.000], [0.500, 0.500, 0.500], [0.000, 0.000, 0.000]],
  "total_energy_ev_per_cell": -12.0,
  "polymorph_energy_mev_per_atom": 0,
  "ef_mev_per_atom": 264
}

***

{
  "formula": "Cd2TcP",
  "functional": "PBE",
  "state": "relaxed",
  "lattice": [[3.115, 0.000, 0.000], [0.000, 3.115, 0.000], [0.000, 0.000, 7.395]],
  "species": ["Tc", "Cd", "Cd", "P"],
  "fractional_positions": [[0.500, 0.500, 0.689], [0.000, 0.000, 0.971], [0.500, 0.500, 0.278], [0.000, 0.000, 0.562]],
  "total_energy_ev_per_cell": -18.0,
  "ef_mev_per_atom": -87
}

***

{
  "formula": "LiMg6In2",
  "functional": "PBE",
  "state": "relaxed",
  "lattice": [[-2.284, 1.077, -2.629], [1.214, -6.634, -5.118], [-6.699, 1.304, 5.010]],
  "species": ["Mg", "Mg", "Mg", "Mg", "Mg", "Mg", "Li", "In", "In"],
  "fractional_positions": [[0.179, 0.505, 0.833], [0.332, 0.330, 0.330], [0.821, 0.167, 0.495], [0.179, 0.833, 0.505], [0.668, 0.670, 0.670], [0.821, 0.495, 0.167], [0.000, 0.000, 0.000], [0.500, 0.155, 0.845], [0.500, 0.845, 0.155]],
  "total_energy_ev_per_cell": -17.4,
  "polymorph_energy_mev_per_atom": 41,
  "ef_mev_per_atom": -49
}

***

{
  "formula": "MnSi2Mo",
  "functional": "PBE",
  "state": "relaxed",
  "lattice": [[4.841, 0.047, 0.000], [2.140, 4.343, 0.000], [-3.490, -2.195, 2.538]],
  "species": ["Si", "Si", "Mo", "Mn"],
  "fractional_positions": [[0.250, 0.750, 0.500], [0.000, 0.000, 0.000], [0.750, 0.250, 0.500], [0.500, 0.500, 0.000]],
  "total_energy_ev_per_cell": -31.5,
  "formation_energy_uncorrected_mev_per_atom": -167
}

***

{
  "formula": "PmHoB12",
  "functional": "PBE",
  "state": "relaxed",
  "lattice": [[-0.029, -1.796, 3.694], [-3.011, -2.503, -1.241], [5.589, -5.436, -2.598]],
  "species": ["B", "B", "B", "B", "B", "B", "B", "B", "B", "B", "B", "B", "Pm", "Ho"],
  "fractional_positions": [[0.500, 0.500, 0.600], [0.801, 0.500, 0.248], [0.500, 0.801, 0.752], [0.801, 0.500, 0.752], [0.500, 0.801, 0.248], [0.500, 0.199, 0.752], [0.500, 0.199, 0.248], [0.500, 0.500, 0.400], [0.199, 0.500, 0.248], [0.199, 0.500, 0.752], [0.500, 0.500, 0.901], [0.500, 0.500, 0.099], [0.000, 0.000, 0.500], [0.000, 0.000, 0.000]],
  "total_energy_ev_per_cell": -95.4,
  "ef_mev_per_atom": -425
}

***

{
  "formula": "Ti3PtC",
  "functional": "PBE",
  "state": "relaxed",
  "lattice": [[10.614, 0.000, 0.562], [4.294, 5.761, -2.099], [-4.294, 5.761, 2.099]],
  "species": ["Ti", "Ti", "Ti", "Ti", "Ti", "Ti", "Ti", "Ti", "Ti", "Ti", "Ti", "Ti", "Pt", "Pt", "Pt", "Pt", "C", "C", "C", "C"],
  "fractional_positions": [[0.444, 0.111, 0.221], [0.399, 0.409, 0.454], [0.601, 0.591, 0.546], [0.056, 0.721, 0.611], [0.091, 0.228, 0.152], [0.944, 0.279, 0.389], [0.556, 0.889, 0.779], [0.409, 0.652, 0.728], [0.899, 0.046, 0.091], [0.591, 0.348, 0.272], [0.909, 0.772, 0.848], [0.101, 0.954, 0.909], [0.076, 0.503, 0.365], [0.576, 0.135, 0.997], [0.424, 0.865, 0.003], [0.924, 0.497, 0.635], [0.250, 0.815, 0.315], [0.250, 0.547, 0.047], [0.750, 0.185, 0.685], [0.750, 0.453, 0.953]],
  "total_energy_ev_per_cell": -170.1,
  "polymorph_energy_mev_per_atom": 111,
  "ef_mev_per_atom": -713
}

***

{
  "formula": "TbPuCdAu",
  "functional": "PBE",
  "state": "relaxed",
  "lattice": [[5.233, 0.000, 0.000], [2.617, 4.532, 0.000], [2.617, 1.511, 4.273]],
  "species": ["Pu", "Tb", "Cd", "Au"],
  "fractional_positions": [[0.250, 0.250, 0.250], [0.750, 0.750, 0.750], [0.500, 0.500, 0.500], [0.000, 0.000, 0.000]],
  "total_energy_ev_per_cell": -24.4,
  "ef_mev_per_atom": -319
}

***

{
  "formula": "Ce3Mn5N12",
  "functional": "PBE",
  "state": "relaxed",
  "lattice": [[10.647, 0.000, 0.000], [-3.549, 10.038, 0.000], [-3.549, -5.019, 8.693]],
  "species": ["N", "N", "N", "N", "N", "N", "N", "N", "N", "N", "N", "N", "N", "N", "N", "N", "N", "N", "N", "N", "N", "N", "N", "N", "N", "N", "N", "N", "N", "N", "N", "N", "N", "N", "N", "N", "N", "N", "N", "N", "N", "N", "N", "N", "N", "N", "N", "N", "Ce", "Ce", "Ce", "Ce", "Ce", "Ce", "Ce", "Ce", "Ce", "Ce", "Ce", "Ce", "Mn", "Mn", "Mn", "Mn", "Mn", "Mn", "Mn", "Mn", "Mn", "Mn", "Mn", "Mn", "Mn", "Mn", "Mn", "Mn", "Mn", "Mn", "Mn", "Mn"],
  "fractional_positions": [[0.607, 0.990, 0.685], [0.805, 0.490, 0.383], [0.578, 0.883, 0.393], [0.107, 0.922, 0.117], [0.422, 0.117, 0.607], [0.815, 0.922, 0.305], [0.990, 0.383, 0.305], [0.010, 0.617, 0.695], [0.422, 0.305, 0.315], [0.185, 0.078, 0.695], [0.990, 0.607, 0.185], [0.185, 0.107, 0.990], [0.078, 0.185, 0.195], [0.685, 0.490, 0.607], [0.922, 0.815, 0.805], [0.510, 0.315, 0.893], [0.383, 0.393, 0.078], [0.315, 0.510, 0.393], [0.383, 0.990, 0.805], [0.883, 0.305, 0.490], [0.195, 0.510, 0.617], [0.695, 0.117, 0.010], [0.195, 0.685, 0.078], [0.315, 0.805, 0.422], [0.805, 0.315, 0.922], [0.510, 0.195, 0.117], [0.685, 0.195, 0.578], [0.393, 0.383, 0.578], [0.107, 0.185, 0.490], [0.305, 0.422, 0.815], [0.617, 0.010, 0.195], [0.117, 0.695, 0.510], [0.617, 0.607, 0.922], [0.883, 0.578, 0.893], [0.607, 0.617, 0.422], [0.305, 0.883, 0.990], [0.578, 0.695, 0.685], [0.815, 0.893, 0.010], [0.695, 0.578, 0.185], [0.490, 0.805, 0.883], [0.893, 0.078, 0.883], [0.893, 0.815, 0.510], [0.393, 0.010, 0.315], [0.078, 0.893, 0.383], [0.922, 0.107, 0.617], [0.010, 0.393, 0.815], [0.117, 0.422, 0.107], [0.490, 0.685, 0.107], [0.250, 0.625, 0.875], [0.250, 0.125, 0.375], [0.125, 0.875, 0.750], [0.375, 0.750, 0.625], [0.875, 0.125, 0.250], [0.750, 0.375, 0.125], [0.750, 0.875, 0.625], [0.625, 0.375, 0.750], [0.875, 0.750, 0.125], [0.125, 0.250, 0.875], [0.375, 0.625, 0.250], [0.625, 0.250, 0.375], [0.250, 0.875, 0.125], [0.375, 0.125, 0.750], [0.250, 0.375, 0.625], [0.500, 0.500, 0.000], [0.500, 0.000, 0.500], [0.750, 0.625, 0.375], [0.500, 0.000, 0.000], [0.875, 0.250, 0.625], [0.000, 0.000, 0.000], [0.625, 0.750, 0.875], [0.875, 0.625, 0.750], [0.500, 0.500, 0.500], [0.000, 0.000, 0.500], [0.125, 0.750, 0.375], [0.750, 0.125, 0.875], [0.125, 0.375, 0.250], [0.000, 0.500, 0.000], [0.000, 0.500, 0.500], [0.625, 0.875, 0.250], [0.375, 0.250, 0.125]],
  "total_energy_ev_per_cell": -700.8,
  "formation_energy_uncorrected_mev_per_atom": -583
}

***

{
  "formula": "ErTh2Rh",
  "functional": "PBE",
  "state": "relaxed",
  "lattice": [[3.771, 0.002, 0.000], [-1.881, 5.853, 0.000], [0.000, 0.000, 10.035]],
  "species": ["Er", "Er", "Th", "Th", "Th", "Th", "Rh", "Rh"],
  "fractional_positions": [[0.085, 0.170, 0.750], [0.915, 0.830, 0.250], [0.636, 0.273, 0.059], [0.364, 0.727, 0.941], [0.636, 0.273, 0.441], [0.364, 0.727, 0.559], [0.790, 0.579, 0.750], [0.210, 0.421, 0.250]],
  "total_energy_ev_per_cell": -57.2,
  "polymorph_energy_mev_per_atom": 0,
  "ef_mev_per_atom": -467
}

***

{
  "formula": "Na2Pa2TiSe6",
  "functional": "PBE",
  "state": "relaxed",
  "lattice": [[6.850, 0.012, 0.070], [-3.375, 5.961, 0.070], [-1.228, -2.111, 7.187]],
  "species": ["Se", "Se", "Se", "Se", "Se", "Se", "Pa", "Pa", "Ti", "Na", "Na"],
  "fractional_positions": [[0.076, 0.394, 0.724], [0.606, 0.924, 0.276], [0.237, 0.237, 0.273], [0.924, 0.606, 0.276], [0.763, 0.763, 0.727], [0.394, 0.076, 0.724], [0.336, 0.664, 0.500], [0.664, 0.336, 0.500], [0.000, 0.000, 0.500], [0.830, 0.170, 0.000], [0.170, 0.830, 0.000]],
  "total_energy_ev_per_cell": -64.5,
  "formation_energy_uncorrected_mev_per_atom": -1279
}

***

{
  "formula": "CsZnNi3",
  "functional": "PBE",
  "state": "relaxed",
  "lattice": [[-2.812, -3.469, -1.287], [1.364, -2.475, 3.689], [-3.439, 1.854, 2.516]],
  "species": ["Ni", "Ni", "Ni", "Zn", "Cs"],
  "fractional_positions": [[0.000, 0.000, 0.500], [0.000, 0.500, 0.000], [0.500, 0.000, 0.000], [0.000, 0.000, 0.000], [0.500, 0.500, 0.500]],
  "total_energy_ev_per_cell": -15.0,
  "polymorph_energy_mev_per_atom": 0,
  "ef_mev_per_atom": 894
}

***

{
  "formula": "Sm2Y2Sb5",
  "functional": "PBE",
  "state": "relaxed",
  "lattice": [[-0.542, 8.093, -1.570], [-5.455, -1.699, -6.876], [-2.441, 1.480, 8.472]],
  "species": ["Sm", "Sm", "Sm", "Sm", "Sb", "Sb", "Sb", "Sb", "Sb", "Sb", "Sb", "Sb", "Sb", "Sb", "Y", "Y", "Y", "Y"],
  "fractional_positions": [[0.500, 0.309, 0.691], [0.000, 0.191, 0.809], [0.500, 0.691, 0.309], [0.000, 0.809, 0.191], [0.856, 0.782, 0.505], [0.500, 0.500, 0.500], [0.356, 0.995, 0.718], [0.356, 0.718, 0.995], [0.144, 0.218, 0.495], [0.144, 0.495, 0.218], [0.644, 0.005, 0.282], [0.644, 0.282, 0.005], [0.000, 0.000, 0.000], [0.856, 0.505, 0.782], [0.162, 0.658, 0.658], [0.662, 0.842, 0.842], [0.338, 0.158, 0.158], [0.838, 0.342, 0.342]],
  "total_energy_ev_per_cell": -101.9,
  "formation_energy_uncorrected_mev_per_atom": -886
}

***

{
  "formula": "Pm3Mo2C4",
  "functional": "PBE",
  "state": "relaxed",
  "lattice": [[3.278, 0.000, 0.000], [-1.639, 5.640, 0.227], [0.000, -2.029, 7.515]],
  "species": ["Pm", "Pm", "Pm", "C", "C", "C", "C", "Mo", "Mo"],
  "fractional_positions": [[0.598, 0.196, 0.388], [0.000, 0.000, 0.000], [0.402, 0.804, 0.612], [0.076, 0.152, 0.706], [0.671, 0.342, 0.096], [0.924, 0.848, 0.294], [0.329, 0.658, 0.904], [0.697, 0.394, 0.839], [0.303, 0.606, 0.161]],
  "total_energy_ev_per_cell": -72.9,
  "ef_mev_per_atom": -13
}

***

{
  "formula": "Ba2Sc2Cr",
  "functional": "PBE",
  "state": "relaxed",
  "lattice": [[4.524, 0.000, 0.000], [0.000, 4.524, 0.000], [2.262, 2.262, 8.467]],
  "species": ["Ba", "Ba", "Sc", "Sc", "Cr"],
  "fractional_positions": [[0.750, 0.250, 0.500], [0.250, 0.750, 0.500], [0.422, 0.422, 0.156], [0.578, 0.578, 0.844], [0.000, 0.000, 0.000]],
  "total_energy_ev_per_cell": -20.6,
  "ef_mev_per_atom": 1100
}

***

{
  "formula": "BaSb2Br",
  "functional": "PBE",
  "state": "relaxed",
  "lattice": [[-4.205, 1.062, -1.054], [-1.439, -3.735, 1.979], [-0.631, 3.379, 5.920]],
  "species": ["Ba", "Br", "Sb", "Sb"],
  "fractional_positions": [[0.500, 0.000, 0.500], [0.000, 0.500, 0.500], [0.000, 0.000, 0.000], [0.500, 0.500, 0.000]],
  "total_energy_ev_per_cell": -15.3,
  "polymorph_energy_mev_per_atom": 43,
  "formation_energy_uncorrected_mev_per_atom": -876
}

***

{
  "formula": "PrAsRu",
  "functional": "PBE",
  "state": "relaxed",
  "lattice": [[4.218, 0.000, 0.000], [0.000, 4.218, 0.000], [0.000, 0.000, 7.188]],
  "species": ["As", "As", "Pr", "Pr", "Ru", "Ru"],
  "fractional_positions": [[0.500, 0.000, 0.696], [0.000, 0.500, 0.304], [0.500, 0.000, 0.183], [0.000, 0.500, 0.817], [0.000, 0.000, 0.500], [0.500, 0.500, 0.500]],
  "total_energy_ev_per_cell": -42.3,
  "ef_mev_per_atom": -807
}

***

{
  "formula": "Ga2HI",
  "functional": "PBE",
  "state": "relaxed",
  "lattice": [[1.658, -4.980, 0.269], [-2.478, -3.746, -2.730], [2.347, -2.216, -4.148]],
  "species": ["Ga", "Ga", "I", "H"],
  "fractional_positions": [[0.750, 0.750, 0.750], [0.250, 0.250, 0.250], [0.500, 0.500, 0.500], [0.000, 0.000, 0.000]],
  "total_energy_ev_per_cell": -9.3,
  "polymorph_energy_mev_per_atom": 255
}